No. 1
DFT (GGA-PBE) results for crystalline TlCu2Rh2 at its relaxed geometry.

Calculated values
The total magnetization comes out at 2.15 Bohr magnetons per cell. The polymorph energy (0 for the lowest one) comes out at 180 meV/atom. As for the crystal system: tetragonal. The formation enthalpy at 0 K comes out at 37.7 kJ/mol of atoms. Its final energy is -23.31 eV per formula unit.

a = 3.729 Å, b = 3.729 Å, c = 12.045 Å
α = 90.00°, β = 90.00°, γ = 90.00°
Space group I4/mmm (No. 139)
Inequivalent atoms, fractional coordinates:
Tl1 0.000 0.000 0.000 (multiplicity 2)
Cu1 0.000 0.000 0.398 (multiplicity 4)
Rh1 0.000 0.500 0.250 (multiplicity 4)


No. 2
DFT (GGA-PBE) results for crystalline TmIn2Sn at its relaxed geometry.

Calculated values
The total magnetization comes out at 0.00 Bohr magnetons per cell. The polymorph energy (0 for the lowest one) comes out at 244 meV/atom. As for the crystal system: cubic. The formation enthalpy at 0 K comes out at -12.0 kJ/mol of atoms. Its final energy is -14.45 eV per formula unit.

a = 7.548 Å, b = 7.548 Å, c = 7.548 Å
α = 90.00°, β = 90.00°, γ = 90.00°
Space group Fm-3m (No. 225)
Inequivalent atoms, fractional coordinates:
Tm1 0.000 0.000 0.000 (multiplicity 4)
In1 0.250 0.250 0.250 (multiplicity 8)
Sn1 0.000 0.000 0.500 (multiplicity 4)


No. 3
DFT (GGA-PBE) results for crystalline BaCa4Pb at its relaxed geometry.

Calculated values
The total magnetization comes out at 0.00 Bohr magnetons per cell. As for the crystal system: cubic. The formation enthalpy at 0 K comes out at 6.2 kJ/mol of atoms. Its final energy is -13.25 eV per formula unit.

a = 10.096 Å, b = 10.096 Å, c = 10.096 Å
α = 90.00°, β = 90.00°, γ = 90.00°
Space group F-43m (No. 216)
Inequivalent atoms, fractional coordinates:
Ba1 0.000 0.000 0.000 (multiplicity 4)
Ca1 0.124 0.124 0.624 (multiplicity 16)
Pb1 0.250 0.250 0.250 (multiplicity 4)


No. 4
DFT (GGA-PBE) results for crystalline Be2NiAs at its relaxed geometry.

Calculated values
The total magnetization comes out at 0.00 Bohr magnetons per cell. As for the crystal system: tetragonal. The formation enthalpy at 0 K comes out at 15.9 kJ/mol of atoms. Its final energy is -17.22 eV per formula unit.

a = 3.565 Å, b = 3.565 Å, c = 15.266 Å
α = 90.00°, β = 90.00°, γ = 90.00°
Space group I-42d (No. 122)
Inequivalent atoms, fractional coordinates:
Be1 0.208 0.250 0.125 (multiplicity 8)
Ni1 0.000 0.000 0.000 (multiplicity 4)
As1 0.000 0.000 0.500 (multiplicity 4)